BaMgNiF6 PBE with a Hubbard U optimized geometry; magnetization = 3.9 Bohr magnetons per cell; total energy = -5.137 eV per atom; calculated volume = 140.3 Å³/f.u.; crystal system = trigonal
1.0
5.3759 0.0000 0.0000
-2.6879 4.6557 0.0000
0.0000 0.0000 11.2131
Ba Mg Ni F
2 2 2 12
direct
0.0000 0.0000 0.0000
0.0000 0.0000 0.5000
0.3333 0.6667 0.2500
0.6667 0.3333 0.7500
0.3333 0.6667 0.7500
0.6667 0.3333 0.2500
0.0027 0.3796 0.1496
0.0027 0.6231 0.3504
0.3769 0.3796 0.3504
0.3769 0.9973 0.1496
0.3796 0.0027 0.6496
0.3796 0.3769 0.8504
0.6204 0.6231 0.1496
0.6204 0.9973 0.3504
0.6231 0.0027 0.8504
0.6231 0.6204 0.6496
0.9973 0.3769 0.6496
0.9973 0.6204 0.8504